(1)
Here is crystalline SiOs2Pt at its relaxed geometry from the Alexandria database. Energies are from PBEsol.

## Properties
As for the formation energy without anion corrections: 187 meV/atom. Its density of states at the Fermi level is 3.819 states/eV per cell. Its symmetry is Fm-3m (225).

a b c (Å): 4.2814 4.2814 4.2814
angles (deg): 60.00 60.00 60.00
With the nearest neighbours (Å) after each atom.
Sites, in units of the cell vectors:
1 Os 0.7500 0.7500 0.7500  4 Pt 2.62, 4 Si 2.62
2 Os 0.2500 0.2500 0.2500  4 Pt 2.62, 4 Si 2.62
3 Pt 0.0000 0.0000 0.0000  8 Os 2.62
4 Si 0.5000 0.5000 0.5000  8 Os 2.62



(2)
Here is crystalline RePS2I at its relaxed geometry from the Alexandria database. Energies are from PBEsol.

## Properties
As for the formation energy without anion corrections: 2152 meV/atom. Its density of states at the Fermi level is 4.101 states/eV per cell. Its symmetry is P4/mmm (123).

a b c (Å): 4.8606 4.8606 5.2141
angles (deg): 90.00 90.00 90.00
With the nearest neighbours (Å) after each atom.
Sites, in units of the cell vectors:
1 I 0.0000 0.0000 0.0000  4 S 2.43, 2 P 2.61
2 Re 0.5000 0.5000 0.5000  4 P 3.44, 8 S 3.56
3 S 0.0000 0.5000 0.0000  2 I 2.43
4 S 0.5000 0.0000 0.0000  2 I 2.43
5 P 0.0000 0.0000 0.5000  2 I 2.61



(3)
Here is crystalline K2Zn3GeAs4 at its relaxed geometry from the Alexandria database. Energies are from PBEsol.

## Properties
Its density of states at the Fermi level is 2.158 states/eV per cell. Its symmetry is C222 (21).

a b c (Å): 5.7064 5.7185 7.6301
angles (deg): 67.99 90.00 90.00
With the nearest neighbours (Å) after each atom.
Sites, in units of the cell vectors:
1 K 0.7525 0.0000 0.5000  8 As 3.44-3.52
2 K 0.2475 0.5000 0.5000  8 As 3.44-3.52
3 Zn 0.5000 0.5000 0.0000  4 As 2.59, 4 Zn 2.85-2.86
4 Zn 0.0000 0.5000 0.0000  4 As 2.55
5 Zn 0.5000 0.0000 0.0000  4 As 2.54
6 Ge 0.0000 0.0000 0.0000  4 As 2.50
7 As 0.2436 0.1337 0.2189  1 Ge 2.50, 3 Zn 2.54-2.59
8 As 0.7564 0.6474 0.2189  1 Ge 2.50, 3 Zn 2.54-2.59
9 As 0.7564 0.3526 0.7811  1 Ge 2.50, 3 Zn 2.54-2.59
10 As 0.2436 0.8663 0.7811  1 Ge 2.50, 3 Zn 2.54-2.59



(4)
Here is crystalline Ca2ScCuMo at its relaxed geometry from the Alexandria database. Energies are from PBEsol.

## Properties
Its density of states at the Fermi level is 4.323 states/eV per cell. Its symmetry is P4/mmm (123).

a b c (Å): 4.9202 5.2554 5.2554
angles (deg): 90.00 90.00 90.00
With the nearest neighbours (Å) after each atom.
Sites, in units of the cell vectors:
1 Sc 0.5000 0.0000 0.0000  2 Cu 2.46
2 Mo 0.5000 0.5000 0.5000  8 Ca 3.60, 4 Sc 3.72
3 Ca 0.0000 0.0000 0.5000  2 Cu 2.63
4 Ca 0.0000 0.5000 0.0000  2 Cu 2.63
5 Cu 0.0000 0.0000 0.0000  2 Sc 2.46, 4 Ca 2.63



| no. | ρ (g/cm³) | E (Ha/atom) | magnetization (μB/f.u.) |
| --- | --- | --- | --- |
| 1 | 18.06 | -0.33438 | 0.0 |
| 2 | 5.50 | -0.13889 | 4.2 |
| 3 | 4.65 | -0.12952 | 0.0 |
| 4 | 3.48 | -0.16392 | 3.5 |